Compound: CrIn2
Source: the Alexandria database
Functional: PBE
Structure: optimized geometry

formation enthalpy at 0 K = 0.33 eV per atom
spin magnetization = 0.0 μB/f.u.

abc: 5.3419 5.3419 8.3988
angles: 65.54 65.54 33.86
Last column: nearest neighbours and their distance in Å.
Atoms (fractional coordinates):
In 0.9827 0.9827 0.6967  5 Cr 2.83-3.06, 4 In 3.00-3.17
Cr 0.7059 0.7059 0.4400  2 Cr 2.24
Cr 0.2941 0.2941 0.5600  2 Cr 2.24
In 0.0173 0.0173 0.3033  5 Cr 2.83-3.06, 4 In 3.00-3.17
In 0.3421 0.3421 0.1131  2 Cr 2.93, 6 In 2.95-3.26
In 0.6579 0.6579 0.8869  2 Cr 2.93, 6 In 2.95-3.26